1.
Density functional theory data (GGA-PBE) for a geometry-optimized Sc2CdN structure.

Computed properties:
Total magnetization (μB/f.u.): 0.70
ΔE to the lowest computed polymorph (kJ/mol of atoms): 29.6
Energy relative to the elements, uncorrected (eV per atom): -0.782

Cell: 3.2151 3.2151 7.7978 Å, 90.00 90.00 120.01°
Site moments in Bohr magnetons follow the coordinates.
Sites, in units of the cell vectors:
Sc 0.4665 0.5335 0.3270  0.26
Sc 0.4665 0.5335 0.6730  0.26
N 0.1332 0.8668 0.5000  -0.03
Cd 0.7997 0.2003 0.0000  0.01



2.
Density functional theory data (GGA-PBE) for a geometry-optimized K2TbCeSe4 structure.

Computed properties:
Total magnetization (μB/f.u.): 1.01
Energy relative to the elements, uncorrected (eV per atom): -1.724

Cell: 4.3089 7.4624 8.0705 Å, 107.93 90.00 90.00°
Site moments in Bohr magnetons follow the coordinates.
Sites, in units of the cell vectors:
Tb 0.0000 0.0000 0.0000  0.01
Ce 0.5000 0.5000 0.0000  0.96
K 0.5000 0.0000 0.5000  0.00
K 0.0000 0.5000 0.5000  0.00
Se 0.5000 0.7709 0.7936  -0.01
Se 0.0000 0.7431 0.2088  -0.01
Se 0.5000 0.2291 0.2064  -0.01
Se 0.0000 0.2569 0.7912  -0.01



3.
Density functional theory data (GGA-PBE) for a geometry-optimized CsSbN structure.

Computed properties:
Total magnetization (μB/f.u.): 0.00
Energy relative to the elements, uncorrected (eV per atom): 0.125

Cell: 7.2152 7.2160 8.9626 Å, 118.10 123.97 26.98°
Sites, in units of the cell vectors:
Sb 0.2544 0.7327 0.8742
Sb 0.1249 0.9181 0.5591
Cs 0.7266 0.6930 0.3852
Cs 0.6526 0.9578 0.0480
N 0.9283 0.2638 0.0169
N 0.4509 0.3871 0.4163



Among the records above, which one has the lowest total magnetization? CsSbN



The highest energy relative to the elements, uncorrected belongs to which entry? CsSbN



Among the records above, which one has the highest energy relative to the elements, uncorrected? CsSbN